Entry 1:
DFT (PBE-GGA) results for a relaxed BeOs2Pt crystal.

Total magnetic moment in μB/f.u.: 0.00
Raw total energy in hartree per atom: -0.2919
Formation energy from the elements in kJ/mol of formula units: 44

Geometry as CIF:
```
data_BeOs2Pt
_chemical_formula_sum 'Be2 Os4 Pt2'
_cell_length_a 3.840
_cell_length_b 3.840
_cell_length_c 7.373
_cell_angle_alpha 90.00
_cell_angle_beta 90.00
_cell_angle_gamma 90.00
_space_group_name_H-M_alt 'I -4 m 2'
_space_group_IT_number 119
_space_group_name_Hall 'I -4 -2'
loop_
_atom_site_label
_atom_site_type_symbol
_atom_site_fract_x
_atom_site_fract_y
_atom_site_fract_z
Be1 Be 0.000 0.000 0.000
Os1 Os 0.000 0.000 0.500
Os2 Os 0.000 0.500 0.750
Pt1 Pt 0.000 0.500 0.250
```



Entry 2:
DFT (PBE-GGA) results for a relaxed ZnGe3Pd6 crystal.

Total magnetic moment in μB/f.u.: 0.00
Raw total energy in hartree per atom: -0.1857
Formation energy from the elements in kJ/mol of formula units: -411

Geometry as CIF:
```
data_ZnGe3Pd6
_chemical_formula_sum 'Zn2 Ge6 Pd12'
_cell_length_a 9.355
_cell_length_b 3.683
_cell_length_c 9.644
_cell_angle_alpha 90.00
_cell_angle_beta 101.69
_cell_angle_gamma 90.00
_space_group_name_H-M_alt 'P 1 21/m 1'
_space_group_IT_number 11
loop_
_space_group_symop_operation_xyz
'x,y,z'
'-x,-y,-z'
'-x,y+1/2,-z'
'x,-y+1/2,z'
loop_
_atom_site_label
_atom_site_type_symbol
_atom_site_fract_x
_atom_site_fract_y
_atom_site_fract_z
Zn1 Zn 0.190 0.250 0.054
Ge1 Ge 0.048 0.250 0.691
Ge2 Ge 0.366 0.250 0.398
Ge3 Ge 0.487 0.750 0.808
Pd1 Pd 0.063 0.750 0.876
Pd2 Pd 0.100 0.250 0.449
Pd3 Pd 0.205 0.750 0.254
Pd4 Pd 0.302 0.250 0.809
Pd5 Pd 0.334 0.750 0.566
Pd6 Pd 0.386 0.750 0.042
```



Entry 3:
DFT (PBE-GGA) results for a relaxed Pm3Dy2Er4 crystal.

Energy above the lowest structure with this stoichiometry in meV/atom: 0
Total magnetic moment in μB/f.u.: 0.00
Raw total energy in hartree per atom: -0.1696
Formation energy from the elements in kJ/mol of formula units: 16

Geometry as CIF:
```
data_Pm3Dy2Er4
_chemical_formula_sum 'Pm3 Dy2 Er4'
_cell_length_a 6.161
_cell_length_b 6.167
_cell_length_c 9.416
_cell_angle_alpha 71.01
_cell_angle_beta 89.97
_cell_angle_gamma 60.05
_space_group_name_H-M_alt 'P -1'
_space_group_IT_number 2
loop_
_space_group_symop_operation_xyz
'x,y,z'
'-x,-y,-z'
loop_
_atom_site_label
_atom_site_type_symbol
_atom_site_fract_x
_atom_site_fract_y
_atom_site_fract_z
Pm1 Pm 0.000 0.000 0.000
Pm2 Pm 0.112 0.444 0.333
Dy1 Dy 0.445 0.778 0.333
Er1 Er 0.223 0.887 0.667
Er2 Er 0.335 0.333 0.000
```



Entry 4:
DFT (PBE-GGA) results for a relaxed DyHoGa2Pd5 crystal.

Total magnetic moment in μB/f.u.: 0.00
Raw total energy in hartree per atom: -0.1986
Formation energy from the elements in kJ/mol of formula units: -718

Geometry as CIF:
```
data_DyHoGa2Pd5
_chemical_formula_sum 'Dy1 Ho1 Ga2 Pd5'
_cell_length_a 4.192
_cell_length_b 4.192
_cell_length_c 9.250
_cell_angle_alpha 90.00
_cell_angle_beta 90.00
_cell_angle_gamma 90.00
_space_group_name_H-M_alt 'P 4/m m m'
_space_group_IT_number 123
_space_group_name_Hall '-P 4 2'
loop_
_atom_site_label
_atom_site_type_symbol
_atom_site_fract_x
_atom_site_fract_y
_atom_site_fract_z
Dy1 Dy 0.000 0.000 0.000
Ho1 Ho 0.000 0.000 0.500
Ga1 Ga 0.500 0.500 0.367
Pd1 Pd 0.000 0.500 0.222
Pd2 Pd 0.500 0.500 0.000
```



Entry 5:
DFT (PBE-GGA) results for a relaxed ZrSi2TcN crystal.

Total magnetic moment in μB/f.u.: 0.00
Formation energy without anion corrections in meV per atom: 407
Raw total energy in hartree per atom: -0.2650

Geometry as CIF:
```
data_ZrSi2TcN
_chemical_formula_sum 'Zr1 Si2 Tc1 N1'
_cell_length_a 4.821
_cell_length_b 4.821
_cell_length_c 3.716
_cell_angle_alpha 90.00
_cell_angle_beta 90.00
_cell_angle_gamma 90.00
_space_group_name_H-M_alt 'P 4/m m m'
_space_group_IT_number 123
_space_group_name_Hall '-P 4 2'
loop_
_atom_site_label
_atom_site_type_symbol
_atom_site_fract_x
_atom_site_fract_y
_atom_site_fract_z
Zr1 Zr 0.000 0.000 0.000
Si1 Si 0.000 0.500 0.500
Tc1 Tc 0.500 0.500 0.500
N1 N 0.500 0.500 0.000
```



Entry 6:
DFT (PBE-GGA) results for a relaxed BaErInAg crystal.

Total magnetic moment in μB/f.u.: 0.00
Raw total energy in hartree per atom: -0.1179
Formation energy from the elements in kJ/mol of formula units: -73

Geometry as CIF:
```
data_BaErInAg
_chemical_formula_sum 'Ba4 Er4 In4 Ag4'
_cell_length_a 7.868
_cell_length_b 7.868
_cell_length_c 7.868
_cell_angle_alpha 90.00
_cell_angle_beta 90.00
_cell_angle_gamma 90.00
_space_group_name_H-M_alt 'F -4 3 m'
_space_group_IT_number 216
_space_group_name_Hall 'F -4 2 3'
loop_
_atom_site_label
_atom_site_type_symbol
_atom_site_fract_x
_atom_site_fract_y
_atom_site_fract_z
Ba1 Ba 0.000 0.000 0.000
Er1 Er 0.000 0.000 0.500
In1 In 0.250 0.250 0.750
Ag1 Ag 0.250 0.250 0.250
```